Material: KBi2As2S6
Method: DFT, PBE-GGA
State: optimized geometry

Results
Calculated total energy, hartree per atom: -0.155
Energy relative to the elements, uncorrected, meV per atom: -328
D(E_F), states/eV/atom: 0.22

Geometry as extended XYZ:
```
11
Lattice="8.1602 0.6437 0.6362 4.6345 7.7239 -1.4836 0.1696 -5.6571 8.1354" Properties=species:S:1:pos:R:3 pbc="T T T"
K 4.1649 -2.5067 4.3858
Bi 8.3649 -1.5846 6.4964
Bi 4.5993 4.2950 0.7916
As 5.1998 0.8912 6.1324
As 7.7644 1.8192 1.1557
S 6.3227 6.0592 -0.1575
S 9.5863 2.9829 0.7716
S 6.1009 3.6775 2.8832
S 3.3779 -0.2724 6.5164
S 6.8633 -0.9670 4.4048
S 6.6415 -3.3487 7.4455
```



Material: CrIn2Os
Method: DFT, PBE-GGA
State: optimized geometry

Results
Relative energy among the computed polymorphs, meV per atom: 358
Calculated total energy, hartree per atom: -0.220
D(E_F), states/eV/atom: 1.03

Geometry as extended XYZ:
```
4
Lattice="-3.4127 -0.4408 -3.0969 -4.0478 -1.8567 1.2647 -3.7714 2.6661 0.3163" Properties=species:S:1:pos:R:3 pbc="T T T"
Cr -5.6160 0.1843 -0.7579
In 0.0000 0.0000 0.0000
In -2.8080 0.0922 -0.3790
Os -8.4239 0.2765 -1.1369
```